<A>
Material: TaSn2Te
Method: DFT, PBE-GGA
State: relaxed

a = 6.6125 Å, b = 6.6125 Å, c = 8.1796 Å
α = 66.16°, β = 66.16°, γ = 90.00°
Closest atoms and distances in Å follow each position.
Sites, in units of the cell vectors:
Te 0.5000 0.5000 0.0000  4 Sn 3.02
Te 0.2500 0.7500 0.5000  4 Sn 3.02
Sn 0.6604 0.1250 0.2500  2 Ta 2.75, 2 Te 3.02
Sn 0.0896 0.6250 0.2500  2 Ta 2.75, 2 Te 3.02
Sn 0.3750 0.3396 0.7500  2 Ta 2.75, 2 Te 3.02
Sn 0.8750 0.9104 0.7500  2 Ta 2.75, 2 Te 3.02
Ta 0.0000 0.0000 0.0000  4 Sn 2.75
Ta 0.7500 0.2500 0.5000  4 Sn 2.75

<B>
Material: TaSn2Te
Method: DFT, PBE-GGA
State: relaxed

a = 5.1317 Å, b = 5.1317 Å, c = 5.1317 Å
α = 60.00°, β = 60.00°, γ = 60.00°
Closest atoms and distances in Å follow each position.
Sites, in units of the cell vectors:
Te 0.0000 0.0000 0.0000  8 Sn 3.14
Sn 0.2500 0.2500 0.2500  4 Ta 3.14, 4 Te 3.14
Sn 0.7500 0.7500 0.7500  4 Ta 3.14, 4 Te 3.14
Ta 0.5000 0.5000 0.5000  8 Sn 3.14

Which is most stable, and by how much? <B>, by 161 meV per atom.